No. 1
# PBE-GGA GdTlGeSe3, relaxed
data_GdTlGeSe3
_chemical_formula_sum 'Gd4 Tl4 Ge4 Se12'
_cell_length_a 4.428
_cell_length_b 14.320
_cell_length_c 11.316
_cell_angle_alpha 90.00
_cell_angle_beta 90.00
_cell_angle_gamma 90.00
_symmetry_space_group_name_H-M 'C m c m'
_symmetry_Int_Tables_number 63
_symmetry_space_group_name_Hall '-C 2c 2'
loop_
_atom_site_label
_atom_site_fract_x
_atom_site_fract_y
_atom_site_fract_z
Gd1 0.000 0.000 0.000
Tl1 0.000 0.265 0.250
Ge1 0.000 0.458 0.750
Se1 0.000 0.065 0.750
Se2 0.000 0.368 0.545
# Raw total energy, Ry per atom: -0.334



No. 2
# PBE-GGA LuInCuTe3, relaxed
data_LuInCuTe3
_chemical_formula_sum 'Lu4 In4 Cu4 Te12'
_cell_length_a 4.107
_cell_length_b 14.821
_cell_length_c 11.092
_cell_angle_alpha 90.00
_cell_angle_beta 90.00
_cell_angle_gamma 90.00
_symmetry_space_group_name_H-M 'C m c m'
_symmetry_Int_Tables_number 63
_symmetry_space_group_name_Hall '-C 2c 2'
loop_
_atom_site_label
_atom_site_fract_x
_atom_site_fract_y
_atom_site_fract_z
Lu1 0.000 0.000 0.000
In1 0.000 0.244 0.250
Cu1 0.000 0.469 0.750
Te1 0.000 0.082 0.750
Te2 0.000 0.359 0.563
# Raw total energy, Ry per atom: -0.296



No. 3
# PBE-GGA SmGdTl, relaxed
data_SmGdTl
_chemical_formula_sum 'Sm4 Gd4 Tl4'
_cell_length_a 7.399
_cell_length_b 7.399
_cell_length_c 7.399
_cell_angle_alpha 90.00
_cell_angle_beta 90.00
_cell_angle_gamma 90.00
_symmetry_space_group_name_H-M 'F -4 3 m'
_symmetry_Int_Tables_number 216
_symmetry_space_group_name_Hall 'F -4 2 3'
loop_
_atom_site_label
_atom_site_fract_x
_atom_site_fract_y
_atom_site_fract_z
Sm1 0.000 0.000 0.000
Gd1 0.000 0.000 0.500
Tl1 0.250 0.250 0.750
# E above lowest polymorph, kJ per mole of atoms: 21.75



No. 4
# PBE-GGA GdYNi2, relaxed
data_GdYNi2
_chemical_formula_sum 'Gd2 Y2 Ni4'
_cell_length_a 5.436
_cell_length_b 4.192
_cell_length_c 7.070
_cell_angle_alpha 90.00
_cell_angle_beta 90.02
_cell_angle_gamma 90.00
_symmetry_space_group_name_H-M 'P 1 21/m 1'
_symmetry_Int_Tables_number 11
loop_
_symmetry_equiv_pos_as_xyz
'x,y,z'
'-x,-y,-z'
'-x,y+1/2,-z'
'x,-y+1/2,z'
loop_
_atom_site_label
_atom_site_fract_x
_atom_site_fract_y
_atom_site_fract_z
Gd1 0.130 0.250 0.320
Y1 0.370 0.250 0.820
Ni1 0.125 0.750 0.038
Ni2 0.375 0.750 0.538
# E above lowest polymorph, kJ per mole of atoms: 0.01



No. 5
# PBE-GGA Zr2NiP2, relaxed
data_Zr2NiP2
_chemical_formula_sum 'Zr4 Ni2 P4'
_cell_length_a 3.7790
_cell_length_b 3.7790
_cell_length_c 13.0450
_cell_angle_alpha 90.00
_cell_angle_beta 90.00
_cell_angle_gamma 120.00
_symmetry_space_group_name_H-M 'P 63/m m c'
_symmetry_Int_Tables_number 194
_symmetry_space_group_name_Hall '-P 6c 2c'
loop_
_atom_site_label
_atom_site_fract_x
_atom_site_fract_y
_atom_site_fract_z
Zr1 0.3333 0.6667 0.1095
Ni1 0.0000 0.0000 0.2500
P1 0.0000 0.0000 0.0000
P2 0.3333 0.6667 0.7500
# Raw total energy, Ry per atom: -0.587



No. 6
# PBE-GGA CdTePdO, relaxed
data_CdTePdO
_chemical_formula_sum 'Cd2 Te2 Pd2 O2'
_cell_length_a 4.263
_cell_length_b 4.263
_cell_length_c 8.718
_cell_angle_alpha 90.00
_cell_angle_beta 90.00
_cell_angle_gamma 90.00
_symmetry_space_group_name_H-M 'P 4/n m m'
_symmetry_Int_Tables_number 129
loop_
_symmetry_equiv_pos_as_xyz
'x,y,z'
'-x,-y,-z'
'-y+1/2,x,z'
'y+1/2,-x,-z'
'-x+1/2,-y+1/2,z'
'x+1/2,y+1/2,-z'
'y,-x+1/2,z'
'-y,x+1/2,-z'
'x+1/2,-y,-z'
'-x+1/2,y,z'
'-y,-x,-z'
'y,x,z'
'-x,y+1/2,-z'
'x,-y+1/2,z'
'y+1/2,x+1/2,-z'
'-y+1/2,-x+1/2,z'
loop_
_atom_site_label
_atom_site_fract_x
_atom_site_fract_y
_atom_site_fract_z
Cd1 0.250 0.250 0.186
Te1 0.250 0.250 0.836
Pd1 0.250 0.250 0.519
O1 0.250 0.750 0.500
# E above lowest polymorph, kJ per mole of atoms: 34.44



No. 7
# PBE-GGA Tb2TeCS, relaxed
data_Tb2TeCS
_chemical_formula_sum 'Tb2 Te1 C1 S1'
_cell_length_a 3.7315
_cell_length_b 3.7315
_cell_length_c 10.0060
_cell_angle_alpha 90.00
_cell_angle_beta 90.00
_cell_angle_gamma 120.00
_symmetry_space_group_name_H-M 'P 3 m 1'
_symmetry_Int_Tables_number 156
loop_
_symmetry_equiv_pos_as_xyz
'x,y,z'
'-y,x-y,z'
'-x+y,-x,z'
'-y,-x,z'
'-x+y,y,z'
'x,x-y,z'
loop_
_atom_site_label
_atom_site_fract_x
_atom_site_fract_y
_atom_site_fract_z
Tb1 0.0000 0.0000 0.0000
Tb2 0.3333 0.6667 0.2880
Te1 0.0000 0.0000 0.5287
C1 0.6667 0.3333 0.1656
S1 0.3333 0.6667 0.8473
# Raw total energy, Ry per atom: -0.427



No. 8
# PBE-GGA HoTm2Ge4Pt4, relaxed
data_HoTm2Ge4Pt4
_chemical_formula_sum 'Ho2 Tm4 Ge8 Pt8'
_cell_length_a 4.152
_cell_length_b 7.109
_cell_length_c 13.842
_cell_angle_alpha 90.00
_cell_angle_beta 90.00
_cell_angle_gamma 90.00
_symmetry_space_group_name_H-M 'I m m m'
_symmetry_Int_Tables_number 71
_symmetry_space_group_name_Hall '-I 2 2'
loop_
_atom_site_label
_atom_site_fract_x
_atom_site_fract_y
_atom_site_fract_z
Ho1 0.000 0.000 0.000
Tm1 0.000 0.500 0.125
Ge1 0.000 0.000 0.220
Ge2 0.000 0.186 0.500
Pt1 0.000 0.296 0.327
# Raw total energy, Ry per atom: -0.448



No. 9
# PBE-GGA ZnGe2Br2, relaxed
data_ZnGe2Br2
_chemical_formula_sum 'Zn8 Ge16 Br16'
_cell_length_a 12.149
_cell_length_b 19.647
_cell_length_c 4.427
_cell_angle_alpha 90.00
_cell_angle_beta 90.00
_cell_angle_gamma 90.00
_symmetry_space_group_name_H-M 'F d d 2'
_symmetry_Int_Tables_number 43
_symmetry_space_group_name_Hall 'F 2 -2d'
loop_
_atom_site_label
_atom_site_fract_x
_atom_site_fract_y
_atom_site_fract_z
Zn1 0.000 0.000 0.000
Ge1 0.103 0.465 0.000
Br1 0.044 0.326 0.739
# Raw total energy, Ry per atom: -0.206



No. 10
# PBE-GGA Li4Si2NiIr, relaxed
data_Li4Si2NiIr
_chemical_formula_sum 'Li4 Si2 Ni1 Ir1'
_cell_length_a 4.069
_cell_length_b 4.069
_cell_length_c 5.724
_cell_angle_alpha 90.00
_cell_angle_beta 90.00
_cell_angle_gamma 90.00
_symmetry_space_group_name_H-M 'P -4 m 2'
_symmetry_Int_Tables_number 115
loop_
_symmetry_equiv_pos_as_xyz
'x,y,z'
'y,-x,-z'
'-x,-y,z'
'-y,x,-z'
'-x,y,z'
'-y,-x,-z'
'x,-y,z'
'y,x,-z'
loop_
_atom_site_label
_atom_site_fract_x
_atom_site_fract_y
_atom_site_fract_z
Li1 0.000 0.000 0.000
Li2 0.000 0.500 0.734
Li3 0.500 0.500 0.500
Si1 0.000 0.500 0.248
Ni1 0.000 0.000 0.500
Ir1 0.500 0.500 0.000
# Raw total energy, Ry per atom: -0.335



No. 11
# PBE-GGA CdGaSi2, relaxed
data_CdGaSi2
_chemical_formula_sum 'Cd4 Ga4 Si8'
_cell_length_a 6.652
_cell_length_b 6.652
_cell_length_c 6.652
_cell_angle_alpha 90.00
_cell_angle_beta 90.00
_cell_angle_gamma 90.00
_symmetry_space_group_name_H-M 'F -4 3 m'
_symmetry_Int_Tables_number 216
_symmetry_space_group_name_Hall 'F -4 2 3'
loop_
_atom_site_label
_atom_site_fract_x
_atom_site_fract_y
_atom_site_fract_z
Cd1 0.000 0.000 0.000
Ga1 0.250 0.250 0.750
Si1 0.000 0.000 0.500
Si2 0.250 0.250 0.250
# Raw total energy, Ry per atom: -0.238



No. 12
# PBE-GGA KAgSO4F, relaxed
data_KAgSO4F
_chemical_formula_sum 'K2 Ag2 S2 O8 F2'
_cell_length_a 5.908
_cell_length_b 6.534
_cell_length_c 7.010
_cell_angle_alpha 106.64
_cell_angle_beta 104.07
_cell_angle_gamma 106.87
_symmetry_space_group_name_H-M 'P -1'
_symmetry_Int_Tables_number 2
loop_
_symmetry_equiv_pos_as_xyz
'x,y,z'
'-x,-y,-z'
loop_
_atom_site_label
_atom_site_fract_x
_atom_site_fract_y
_atom_site_fract_z
K1 0.182 0.328 0.114
Ag1 0.340 0.930 0.726
S1 0.190 0.354 0.643
O1 0.004 0.368 0.743
O2 0.063 0.184 0.415
O3 0.342 0.580 0.641
O4 0.384 0.283 0.758
F1 0.282 0.957 0.074
# Raw total energy, Ry per atom: -0.374



No. 13
# PBE-GGA Sc4CoAsC2, relaxed
data_Sc4CoAsC2
_chemical_formula_sum 'Sc4 Co1 As1 C2'
_cell_length_a 3.3185
_cell_length_b 3.3185
_cell_length_c 13.1716
_cell_angle_alpha 90.00
_cell_angle_beta 90.00
_cell_angle_gamma 120.00
_symmetry_space_group_name_H-M 'P -6 m 2'
_symmetry_Int_Tables_number 187
_symmetry_space_group_name_Hall 'P -6 2'
loop_
_atom_site_label
_atom_site_fract_x
_atom_site_fract_y
_atom_site_fract_z
Sc1 0.0000 0.0000 0.1486
Sc2 0.6667 0.3333 0.3370
Co1 0.6667 0.3333 0.0000
As1 0.0000 0.0000 0.5000
C1 0.3333 0.6667 0.2454
# Raw total energy, Ry per atom: -0.546



No. 14
# PBE-GGA NdY2N3, relaxed
data_NdY2N3
_chemical_formula_sum 'Nd1 Y2 N3'
_cell_length_a 3.5171
_cell_length_b 3.5171
_cell_length_c 8.6136
_cell_angle_alpha 90.00
_cell_angle_beta 90.00
_cell_angle_gamma 120.00
_symmetry_space_group_name_H-M 'P -3 m 1'
_symmetry_Int_Tables_number 164
_symmetry_space_group_name_Hall '-P 3 2"'
loop_
_atom_site_label
_atom_site_fract_x
_atom_site_fract_y
_atom_site_fract_z
Nd1 0.0000 0.0000 0.0000
Y1 0.3333 0.6667 0.3378
N1 0.0000 0.0000 0.5000
N2 0.3333 0.6667 0.8242
# Raw total energy, Ry per atom: -0.638



No. 15
# PBE-GGA KGe5Ir3, relaxed
data_KGe5Ir3
_chemical_formula_sum 'K1 Ge5 Ir3'
_cell_length_a 5.4338
_cell_length_b 5.4338
_cell_length_c 7.8087
_cell_angle_alpha 90.00
_cell_angle_beta 90.00
_cell_angle_gamma 120.00
_symmetry_space_group_name_H-M 'P 6/m m m'
_symmetry_Int_Tables_number 191
_symmetry_space_group_name_Hall '-P 6 2'
loop_
_atom_site_label
_atom_site_fract_x
_atom_site_fract_y
_atom_site_fract_z
K1 0.0000 0.0000 0.0000
Ge1 0.0000 0.0000 0.5000
Ge2 0.3333 0.6667 0.2377
Ir1 0.0000 0.5000 0.5000
# Raw total energy, Ry per atom: -0.416



No. 16
# PBE-GGA HoSb2O2, relaxed
data_HoSb2O2
_chemical_formula_sum 'Ho1 Sb2 O2'
_cell_length_a 3.4273
_cell_length_b 3.4273
_cell_length_c 9.0038
_cell_angle_alpha 90.00
_cell_angle_beta 90.00
_cell_angle_gamma 120.00
_symmetry_space_group_name_H-M 'P -3 m 1'
_symmetry_Int_Tables_number 164
_symmetry_space_group_name_Hall '-P 3 2"'
loop_
_atom_site_label
_atom_site_fract_x
_atom_site_fract_y
_atom_site_fract_z
Ho1 0.0000 0.0000 0.0000
Sb1 0.3333 0.6667 0.6330
O1 0.3333 0.6667 0.1231
# Raw total energy, Ry per atom: -0.455